# 1
VASP calculation (GGA-PBE) on an optimized crystal structure of TiCuPb2.

a b c (Å): 7.5613 7.5613 6.3006
angles (deg): 90.00 90.00 90.00
Space group I-42d (No. 122)
Asymmetric unit:
Ti (0.0000, 0.0000, 0.0000) (multiplicity 4)
Cu (0.0000, 0.0000, 0.5000) (multiplicity 4)
Pb (0.2207, 0.2500, 0.6250) (multiplicity 8)

Polymorph energy (0 for the lowest one) in kJ/mol of formula units: 9
E_form in eV/atom: 0.40

=====

# 2
VASP calculation (GGA-PBE) on an optimized crystal structure of PmNdGdLu.

a b c (Å): 8.0959 8.0959 8.0959
angles (deg): 90.00 90.00 90.00
Space group F-43m (No. 216)
Asymmetric unit:
Pm (0.0000, 0.0000, 0.0000) (multiplicity 4)
Nd (0.2500, 0.2500, 0.2500) (multiplicity 4)
Gd (0.2500, 0.2500, 0.7500) (multiplicity 4)
Lu (0.0000, 0.0000, 0.5000) (multiplicity 4)

E_form in eV/atom: 0.12

=====

# 3
VASP calculation (GGA-PBE) on an optimized crystal structure of Mg6AlIn3.

a b c (Å): 3.2493 3.2493 25.1610
angles (deg): 90.00 90.00 120.00
Space group P-3m1 (No. 164)
Asymmetric unit:
Mg (0.3333, 0.6667, 0.1020) (multiplicity 2)
Mg (0.3333, 0.6667, 0.4071) (multiplicity 2)
Mg (0.3333, 0.6667, 0.7962) (multiplicity 2)
Al (0.0000, 0.0000, 0.5000) (multiplicity 1)
In (0.0000, 0.0000, 0.0000) (multiplicity 1)
In (0.0000, 0.0000, 0.3055) (multiplicity 2)

E_form in eV/atom: -0.02

=====

# 4
VASP calculation (GGA-PBE) on an optimized crystal structure of NaHfZrS4.

a b c (Å): 7.6673 7.7197 11.0011
angles (deg): 90.00 90.00 90.00
Space group Imma (No. 74)
Asymmetric unit:
Na (0.0000, 0.2500, 0.1262) (multiplicity 4)
Hf (0.2500, 0.2500, 0.7500) (multiplicity 4)
Zr (0.0000, 0.0000, 0.5000) (multiplicity 4)
S (0.0000, 0.0272, 0.7381) (multiplicity 8)
S (0.2288, 0.2500, 0.5170) (multiplicity 8)

ΔE_f (raw) in eV per formula unit: -10.35

=====

# 5
VASP calculation (GGA-PBE) on an optimized crystal structure of LiCuRe2Ni.

a b c (Å): 4.1486 4.1486 3.8006
angles (deg): 90.00 90.00 90.00
Space group P4/mmm (No. 123)
Asymmetric unit:
Li (0.0000, 0.0000, 0.0000) (multiplicity 1)
Cu (0.5000, 0.5000, 0.5000) (multiplicity 1)
Re (0.0000, 0.5000, 0.0000) (multiplicity 2)
Ni (0.0000, 0.0000, 0.5000) (multiplicity 1)

E_form in eV/atom: 1.41

=====

# 6
VASP calculation (GGA-PBE) on an optimized crystal structure of BeTe2HI.

a b c (Å): 4.2656 4.2656 7.8668
angles (deg): 90.00 90.00 90.00
Space group P4/mmm (No. 123)
Asymmetric unit:
Be (0.0000, 0.0000, 0.0000) (multiplicity 1)
Te (0.0000, 0.5000, 0.5000) (multiplicity 2)
H (0.5000, 0.5000, 0.5000) (multiplicity 1)
I (0.5000, 0.5000, 0.0000) (multiplicity 1)

Polymorph energy (0 for the lowest one) in kJ/mol of formula units: 0

=====

Results for size of the total moment: 0.000; 34.201; 0.000; 0.000; 0.000; 0.000 (in Bohr magnetons per cell, following the order of the records).
Results for density: 9.695; 7.779; 3.734; 4.294; 12.733; 4.549 (in g cm⁻³, following the order of the records).